A plane-wave DFT calculation with PBE was carried out for an optimized crystal structure of Li4PbAu.

Cell: 4.6077 4.6083 5.7002 Å, 90.18 90.02 120.00°
Element x y z (fractional)
1 Li 0.6709 0.8335 0.2581
2 Li 0.3368 0.1654 0.7380
3 Li 0.6704 0.8324 0.7409
4 Li 0.3375 0.1666 0.2553
5 Pb 0.0040 0.4995 0.9982
6 Au 0.0044 0.4993 0.4982

Summary:
E: -16.82 eV/f.u.
Formation enthalpy at 0 K: -0.3635 eV/atom
DOS(E_F): 1.59 states/eV per cell